Entry 1:
# HoTh2Cd4

HoTh2Cd4 after structural relaxation (PBE-GGA, Alexandria).

Output
Total DFT energy (no corrections), eV/atom: -3.30
DFT formation energy, eV/atom: -0.01

```
data_HoTh2Cd4
_symmetry_space_group_name_H-M 'I 4/m m m'
_symmetry_Int_Tables_number 139
_symmetry_space_group_name_Hall '-I 4 2'
_cell_length_a 5.1586
_cell_length_b 5.1586
_cell_length_c 15.2126
_cell_angle_alpha 90.00
_cell_angle_beta 90.00
_cell_angle_gamma 90.00
loop_
_atom_site_label
_atom_site_fract_x
_atom_site_fract_y
_atom_site_fract_z
Ho1 0.0000 0.0000 0.0000
Th1 0.0000 0.0000 0.2551
Cd1 0.0000 0.5000 0.1074
```

***

Entry 2:
# Ge2Ir2Pt

Ge2Ir2Pt after structural relaxation (PBE-GGA, Alexandria).

Output
Excess energy over the best structure of this formula in the dataset, eV per atom: 0.000
Total DFT energy (no corrections), eV/atom: -6.72
DFT formation energy, eV/atom: -0.12

```
data_Ge2Ir2Pt
_symmetry_space_group_name_H-M 'P 4/m b m'
_symmetry_Int_Tables_number 127
_symmetry_space_group_name_Hall '-P 4 2ab'
_cell_length_a 7.3151
_cell_length_b 7.3151
_cell_length_c 2.8705
_cell_angle_alpha 90.00
_cell_angle_beta 90.00
_cell_angle_gamma 90.00
loop_
_atom_site_label
_atom_site_fract_x
_atom_site_fract_y
_atom_site_fract_z
Ge1 0.1560 0.3440 0.0000
Ir1 0.1431 0.6431 0.5000
Pt1 0.0000 0.0000 0.5000
```

***

Entry 3:
# LiCrHg3

LiCrHg3 after structural relaxation (PBE-GGA, Alexandria).

Output
Excess energy over the best structure of this formula in the dataset, eV per atom: 0.000
Total DFT energy (no corrections), eV/atom: -2.15
DFT formation energy, eV/atom: 0.34

```
data_LiCrHg3
_symmetry_space_group_name_H-M 'P m -3 m'
_symmetry_Int_Tables_number 221
_symmetry_space_group_name_Hall '-P 4 2 3'
_cell_length_a 5.2950
_cell_length_b 5.2950
_cell_length_c 5.2950
_cell_angle_alpha 90.00
_cell_angle_beta 90.00
_cell_angle_gamma 90.00
loop_
_atom_site_label
_atom_site_fract_x
_atom_site_fract_y
_atom_site_fract_z
Li1 0.0000 0.0000 0.0000
Cr1 0.5000 0.5000 0.5000
Hg1 0.0000 0.5000 0.5000
```

***

Entry 4:
# AlFeNi2Hg

AlFeNi2Hg after structural relaxation (PBE-GGA, Alexandria).

Output
Total DFT energy (no corrections), eV/atom: -3.84
DFT formation energy, eV/atom: 0.97

```
data_AlFeNi2Hg
_symmetry_space_group_name_H-M 'P 4/m m m'
_symmetry_Int_Tables_number 123
_symmetry_space_group_name_Hall '-P 4 2'
_cell_length_a 4.3032
_cell_length_b 4.3032
_cell_length_c 4.8480
_cell_angle_alpha 90.00
_cell_angle_beta 90.00
_cell_angle_gamma 90.00
loop_
_atom_site_label
_atom_site_fract_x
_atom_site_fract_y
_atom_site_fract_z
Al1 0.0000 0.0000 0.0000
Fe1 0.5000 0.5000 0.5000
Ni1 0.0000 0.5000 0.0000
Hg1 0.0000 0.0000 0.5000
```

***

Entry 5:
# CdNiPb2

CdNiPb2 after structural relaxation (PBE-GGA, Alexandria).

Output
Excess energy over the best structure of this formula in the dataset, eV per atom: 0.035
Total DFT energy (no corrections), eV/atom: -3.39
DFT formation energy, eV/atom: 0.14

```
data_CdNiPb2
_symmetry_space_group_name_H-M 'C m m m'
_symmetry_Int_Tables_number 65
_symmetry_space_group_name_Hall '-C 2 2'
_cell_length_a 4.6278
_cell_length_b 4.7369
_cell_length_c 8.8449
_cell_angle_alpha 90.00
_cell_angle_beta 90.00
_cell_angle_gamma 90.00
loop_
_atom_site_label
_atom_site_fract_x
_atom_site_fract_y
_atom_site_fract_z
Cd1 0.0000 0.0000 0.0000
Ni1 0.0000 0.0000 0.5000
Pb1 0.0000 0.5000 0.3084
```

***

Entry 6:
# InTeSe

InTeSe after structural relaxation (PBE-GGA, Alexandria).

Output
Excess energy over the best structure of this formula in the dataset, eV per atom: 0.106
Total DFT energy (no corrections), eV/atom: -3.31
ΔE_f (raw), eV per atom: -0.19

```
data_InTeSe
_symmetry_space_group_name_H-M 'P 3 m 1'
_symmetry_Int_Tables_number 156
_cell_length_a 4.1971
_cell_length_b 4.1971
_cell_length_c 5.4528
_cell_angle_alpha 90.00
_cell_angle_beta 90.00
_cell_angle_gamma 120.00
loop_
_symmetry_equiv_pos_as_xyz
'x,y,z'
'-y,x-y,z'
'-x+y,-x,z'
'-y,-x,z'
'-x+y,y,z'
'x,x-y,z'
loop_
_atom_site_label
_atom_site_fract_x
_atom_site_fract_y
_atom_site_fract_z
In1 0.0000 0.0000 0.0000
Te1 0.3333 0.6667 0.6797
Se1 0.6667 0.3333 0.2719
```